A geometry-optimized Mg3ZnCd structure. Source: the Alexandria database, functional PBE.

Cell: 4.7183 5.9933 7.7985 Å, 90.00 90.00 90.00°
Fractional coordinates of all 10 atoms:
Zn1 0.7500 0.7500 0.3803
Zn2 0.2500 0.2500 0.6197
Mg1 0.2500 0.5062 0.3256
Mg2 0.2500 0.2500 0.9596
Mg3 0.7500 0.4938 0.6744
Mg4 0.7500 0.0062 0.6744
Mg5 0.2500 0.9938 0.3256
Mg6 0.7500 0.7500 0.0404
Cd1 0.7500 0.2500 0.1956
Cd2 0.2500 0.7500 0.8044

Output
DFT formation energy ... 5 meV per atom

***

A geometry-optimized TeRuBr3 structure. Source: the Alexandria database, functional PBE.

Cell: 5.0486 5.0486 5.0486 Å, 90.00 90.00 90.00°
Fractional coordinates of all 5 atoms:
Br1 0.0000 0.0000 0.5000
Br2 0.5000 0.0000 0.0000
Br3 0.0000 0.5000 0.0000
Te1 0.5000 0.5000 0.5000
Ru1 0.0000 0.0000 0.0000

Output
Energy relative to the elements, uncorrected ... 365 meV/atom

***

A geometry-optimized RuPbBr2 structure. Source: the Alexandria database, functional PBE.

Cell: 3.6141 3.6141 9.3860 Å, 90.00 90.00 119.14°
Fractional coordinates of all 4 atoms:
Pb1 0.0000 0.0000 0.5292
Br1 0.5000 0.5000 0.2874
Br2 0.0000 0.0000 0.9290
Ru1 0.5000 0.5000 0.7544

Output
Energy relative to the elements, uncorrected ... 334 meV/atom

***

A geometry-optimized Tb2AlSi3Au4 structure. Source: the Alexandria database, functional PBE.

Cell: 4.1538 4.1538 11.0184 Å, 90.00 90.00 90.00°
Fractional coordinates of all 10 atoms:
Au1 0.0000 0.0000 0.0000
Au2 0.5000 0.0000 0.6403
Au3 0.5000 0.5000 0.0000
Au4 0.0000 0.5000 0.3597
Si1 0.5000 0.0000 0.8609
Si2 0.0000 0.5000 0.1391
Si3 0.0000 0.0000 0.5000
Al1 0.5000 0.5000 0.5000
Tb1 0.5000 0.0000 0.2329
Tb2 0.0000 0.5000 0.7671

Output
Energy relative to the elements, uncorrected ... -604 meV/atom

***

A geometry-optimized SmGa6Co4 structure. Source: the Alexandria database, functional PBE.

Cell: 3.9344 6.9508 6.9508 Å, 120.00 90.00 90.00°
Fractional coordinates of all 11 atoms:
Ga1 0.5000 0.1966 0.3932
Ga2 0.5000 0.6068 0.8034
Ga3 0.0000 0.5330 0.0659
Ga4 0.0000 0.5330 0.4670
Ga5 0.0000 0.9341 0.4670
Ga6 0.5000 0.1966 0.8034
Co1 0.0000 0.3333 0.6667
Co2 0.5000 0.4269 0.2134
Co3 0.5000 0.7866 0.2134
Co4 0.5000 0.7866 0.5731
Sm1 0.0000 0.0000 0.0000

Output
DFT formation energy ... -299 meV per atom

***

A geometry-optimized CaSc4Br structure. Source: the Alexandria database, functional PBE.

Cell: 6.2913 6.2913 6.2913 Å, 60.00 60.00 60.00°
Fractional coordinates of all 6 atoms:
Sc1 0.3722 0.3722 0.8833
Sc2 0.3722 0.8833 0.3722
Sc3 0.3722 0.3722 0.3722
Sc4 0.8833 0.3722 0.3722
Ca1 0.0000 0.0000 0.0000
Br1 0.7500 0.7500 0.7500

Output
Energy relative to the elements, uncorrected ... 270 meV/atom

***

A geometry-optimized CeUCo2 structure. Source: the Alexandria database, functional PBE.

Cell: 3.6118 3.6118 7.0191 Å, 75.09 75.09 60.00°
Fractional coordinates of all 4 atoms:
Ce1 0.5000 0.5000 0.5000
U1 0.0000 0.0000 0.0000
Co1 0.2580 0.2580 0.2261
Co2 0.7420 0.7420 0.7739

Output
DFT formation energy ... -51 meV per atom

***

A geometry-optimized Sr2CoAu structure. Source: the Alexandria database, functional PBE.

Cell: 3.6700 3.6700 8.6619 Å, 90.00 90.00 90.00°
Fractional coordinates of all 4 atoms:
Co1 0.5000 0.5000 0.6715
Au1 0.0000 0.0000 0.5720
Sr1 0.5000 0.5000 0.3380
Sr2 0.0000 0.0000 0.9185

Output
DFT formation energy ... 103 meV per atom

***

A geometry-optimized Pa3MnSi3 structure. Source: the Alexandria database, functional PBE.

Cell: 4.2012 5.5385 12.7569 Å, 86.43 80.52 67.71°
Fractional coordinates of all 14 atoms:
Si1 0.8633 0.7253 0.5481
Si2 0.1367 0.2747 0.4519
Si3 0.9384 0.8807 0.2426
Si4 0.1197 0.8363 0.9243
Si5 0.8803 0.1637 0.0757
Si6 0.0616 0.1193 0.7574
Mn1 0.7528 0.0740 0.4204
Mn2 0.2472 0.9260 0.5796
Pa1 0.2442 0.2867 0.2249
Pa2 0.7558 0.7133 0.7751
Pa3 0.5278 0.3222 0.6221
Pa4 0.5940 0.7308 0.0812
Pa5 0.4060 0.2692 0.9188
Pa6 0.4722 0.6778 0.3779

Output
Energy relative to the elements, uncorrected ... -488 meV/atom

***

A geometry-optimized TbGa5Ni2Ir structure. Source: the Alexandria database, functional PBE.

Cell: 4.6364 4.6364 6.9934 Å, 90.00 90.00 90.00°
Fractional coordinates of all 9 atoms:
Ga1 0.0000 0.5000 0.1948
Ga2 0.5000 0.0000 0.8052
Ga3 0.0000 0.5000 0.8052
Ga4 0.5000 0.0000 0.1948
Ga5 0.5000 0.5000 0.5000
Ir1 0.0000 0.0000 0.0000
Ni1 0.5000 0.5000 0.1742
Ni2 0.5000 0.5000 0.8258
Tb1 0.0000 0.0000 0.5000

Output
DFT formation energy ... -265 meV per atom

***

A geometry-optimized KAg4Pt2 structure. Source: the Alexandria database, functional PBE.

Cell: 5.4677 5.7223 5.7223 Å, 76.57 61.14 61.14°
Fractional coordinates of all 7 atoms:
Ag1 0.7000 0.0000 0.5991
Ag2 0.3000 0.4009 0.0000
Ag3 0.7000 0.5991 0.0000
Ag4 0.3000 0.0000 0.4009
K1 0.0000 0.0000 0.0000
Pt1 0.7502 0.4997 0.4997
Pt2 0.2498 0.5003 0.5003

Output
DFT formation energy ... 4 meV per atom

***

A geometry-optimized K6HgI8 structure. Source: the Alexandria database, functional PBE.

Cell: 9.2256 9.2256 9.2256 Å, 69.51 69.51 69.51°
Fractional coordinates of all 15 atoms:
I1 0.3213 0.0983 0.8397
I2 0.6591 0.6591 0.6591
I3 0.8397 0.3213 0.0983
I4 0.3409 0.3409 0.3409
I5 0.0983 0.8397 0.3213
I6 0.6787 0.9017 0.1603
I7 0.9017 0.1603 0.6787
I8 0.1603 0.6787 0.9017
K1 0.3005 0.9420 0.5267
K2 0.6995 0.0580 0.4733
K3 0.4733 0.6995 0.0580
K4 0.0580 0.4733 0.6995
K5 0.5267 0.3005 0.9420
K6 0.9420 0.5267 0.3005
Hg1 0.0000 0.0000 0.0000

Output
Energy relative to the elements, uncorrected ... -1186 meV/atom

***

no.,V (Å³ per atom)
1,22.05
2,25.74
3,26.77
4,19.01
5,14.97
6,29.35
7,18.93
8,29.17
9,19.35
10,16.70
11,19.62
12,44.37